(1)
{"formula": "NaHRh2Pb", "functional": "PBE", "state": "optimized geometry", "lattice_angstrom": [[4.1524, 0.0000, 0.0000], [0.0000, 4.1524, 0.0000], [0.0000, 0.0000, 4.1348]], "species": ["Na", "H", "Rh", "Rh", "Pb"], "frac_coords": [[0.0000, 0.0000, 0.0000], [0.0000, 0.0000, 0.5000], [0.0000, 0.5000, 0.5000], [0.5000, 0.0000, 0.5000], [0.5000, 0.5000, 0.0000]], "vol_a3_per_atom": 14.26, "dos_ef_per_ev_fu": 3.0, "density_g_cm3": 10.179, "energy_ev_per_cell": -23.1}

(2)
{"formula": "Na2H6RuPb", "functional": "PBE", "state": "optimized geometry", "lattice_angstrom": [[5.3112, 0.0000, 0.0000], [-2.6556, 4.5997, 0.0000], [0.0000, 0.0000, 6.0430]], "species": ["Na", "Na", "H", "H", "H", "H", "H", "H", "Ru", "Pb"], "frac_coords": [[0.3333, 0.6667, 0.4059], [0.6667, 0.3333, 0.5941], [0.1533, 0.3065, 0.6659], [0.1533, 0.8467, 0.6659], [0.3065, 0.1533, 0.3341], [0.6935, 0.8467, 0.6659], [0.8467, 0.1533, 0.3341], [0.8467, 0.6935, 0.3341], [0.0000, 0.0000, 0.5000], [0.0000, 0.0000, 0.0000]], "vol_a3_per_atom": 14.76, "dos_ef_per_ev_fu": 1.6, "density_g_cm3": 4.053, "energy_ev_per_cell": -35.8}

(3)
{"formula": "NaSbHPb2", "functional": "PBE", "state": "optimized geometry", "lattice_angstrom": [[5.1038, 0.0000, 0.0000], [0.0000, 5.1038, 0.0000], [0.0000, 0.0000, 4.6062]], "species": ["Na", "Sb", "H", "Pb", "Pb"], "frac_coords": [[0.0000, 0.0000, 0.0000], [0.5000, 0.5000, 0.0000], [0.0000, 0.0000, 0.5000], [0.0000, 0.5000, 0.5000], [0.5000, 0.0000, 0.5000]], "vol_a3_per_atom": 24.00, "dos_ef_per_ev_fu": 1.3, "density_g_cm3": 7.752, "energy_ev_per_cell": -16.1}